Record 1
DFT (PBE) results for a relaxed structure of ScAlIr.

Results
Volume   239.6 Å³ per cell
Size of the total moment   0.01 μB/f.u.
Total DFT energy (no corrections)   -6.307 eV per atom

Lattice parameters (Å, degrees): 6.211 6.211 6.211 90.00 90.00 90.00
Space group F-43m (No. 216)
Inequivalent atoms, fractional coordinates:
Sc  0.000  0.000  0.000 [4 per cell]
Al  0.250  0.250  0.750 [4 per cell]
Ir  0.250  0.250  0.250 [4 per cell]



Record 2
DFT (PBE) results for a relaxed structure of ScAlIr2.

Results
Volume   61.1 Å³ per cell
Size of the total moment   0.00 μB/f.u.
Total DFT energy (no corrections)   -7.929 eV per atom

Lattice parameters (Å, degrees): 3.135 3.135 6.219 90.00 90.00 90.00
Space group P4/mmm (No. 123)
Inequivalent atoms, fractional coordinates:
Sc  0.000  0.000  0.000 [1 per cell]
Al  0.000  0.000  0.500 [1 per cell]
Ir  0.500  0.500  0.266 [2 per cell]



Record 3
DFT (PBE) results for a relaxed structure of ScAlIr2.

Results
Volume   255.4 Å³ per cell
Size of the total moment   0.00 μB/f.u.
Total DFT energy (no corrections)   -7.332 eV per atom

Lattice parameters (Å, degrees): 6.345 6.345 6.345 90.00 90.00 90.00
Space group F-43m (No. 216)
Inequivalent atoms, fractional coordinates:
Sc  0.000  0.000  0.000 [4 per cell]
Al  0.250  0.250  0.750 [4 per cell]
Ir  0.000  0.000  0.500 [4 per cell]
Ir  0.250  0.250  0.250 [4 per cell]